DFT (GGA-PBE) results for an optimized crystal structure of Pa2MnBe3Si4.

Lattice parameters (Å, degrees): 3.9641 3.9641 9.2152 90.00 90.00 90.00
Atoms (fractional coordinates):
Pa (0.0000, 0.5000, 0.2439)
Pa (0.5000, 0.0000, 0.7561)
Mn (0.5000, 0.5000, 0.0000)
Be (0.0000, 0.0000, 0.0000)
Be (0.0000, 0.5000, 0.6272)
Be (0.5000, 0.0000, 0.3728)
Si (0.0000, 0.0000, 0.5000)
Si (0.0000, 0.5000, 0.8719)
Si (0.5000, 0.0000, 0.1281)
Si (0.5000, 0.5000, 0.5000)

Its total DFT energy (no corrections) is -6.4741 eV/atom. Its size of the total moment is 0.00 Bohr magnetons per cell. Its space group is P-4m2.